The following is a PBE-GGA calculation of TlCuMo4 after structural relaxation, from the Alexandria database.

```
6
Lattice="0.000 3.749 3.749 3.749 0.000 3.749 3.749 3.749 0.000" Properties=species:S:1:pos:R:3 pbc="T T T"
Tl 0.000 0.000 0.000
Cu 5.624 5.624 5.624
Mo 2.826 2.826 2.826
Mo 4.673 4.673 2.826
Mo 4.673 2.826 4.673
Mo 2.826 4.673 4.673
```

Output
DOS(E_F)	1.37	states/eV/atom
ΔH_f (0 K)	707	meV per atom
spin magnetization	0.000	μB/f.u.
theoretical density	10.27	g/cm³
total DFT energy (no corrections)	-7.591	eV per atom